No. 1
CoTe2OsN: optimized geometry, GGA-PBE.

Cell lengths 5.0928, 5.0928, 3.3227 Å; angles 90.00, 90.00, 90.00 degrees
Sites, in units of the cell vectors:
Co: 0.0000 0.0000 0.0000
Te: 0.0000 0.5000 0.0000
Te: 0.5000 0.0000 0.0000
Os: 0.5000 0.5000 0.5000
N: 0.0000 0.0000 0.5000

Results
- Offset from the most stable computed form: 3.99 kJ per mole of atoms
- Mass density: 10.0 g/cm3
- Formation energy (no corrections): 3.9 eV/f.u.

---

No. 2
CoTeOsN2: optimized geometry, GGA-PBE.

Cell lengths 3.7706, 3.7706, 5.9033 Å; angles 90.00, 90.00, 90.00 degrees
Sites, in units of the cell vectors:
Co: 0.0000 0.0000 0.0000
Te: 0.5000 0.5000 0.0000
Os: 0.5000 0.5000 0.5000
N: 0.0000 0.5000 0.5000
N: 0.5000 0.0000 0.5000

Results
- Offset from the most stable computed form: 0.00 kJ per mole of atoms
- Mass density: 8.0 g/cm3
- Formation energy (no corrections): 4.1 eV/f.u.

---

No. 3
TiCoOsN2: optimized geometry, GGA-PBE.

Cell lengths 3.8123, 3.8123, 4.6395 Å; angles 90.00, 90.00, 90.00 degrees
Sites, in units of the cell vectors:
Ti: 0.0000 0.0000 0.0000
Co: 0.0000 0.0000 0.5000
Os: 0.5000 0.5000 0.5000
N: 0.0000 0.5000 0.0000
N: 0.5000 0.0000 0.0000

Results
- Mass density: 8.0 g/cm3
- Formation energy (no corrections): 7.0 eV/f.u.

---

No. 4
V2CoOsN: optimized geometry, GGA-PBE.

Cell lengths 3.9213, 3.9213, 3.7089 Å; angles 90.00, 90.00, 90.00 degrees
Sites, in units of the cell vectors:
V: 0.0000 0.5000 0.0000
V: 0.5000 0.0000 0.0000
Co: 0.0000 0.0000 0.5000
Os: 0.5000 0.5000 0.5000
N: 0.0000 0.0000 0.0000

Results
- Mass density: 10.6 g/cm3
- Formation energy (no corrections): -1.9 eV/f.u.

---

No. 5
ZnCo2OsN: optimized geometry, GGA-PBE.

Cell lengths 3.8098, 3.8098, 3.9437 Å; angles 90.00, 90.00, 90.00 degrees
Sites, in units of the cell vectors:
Zn: 0.0000 0.0000 0.0000
Co: 0.0000 0.5000 0.5000
Co: 0.5000 0.0000 0.5000
Os: 0.5000 0.5000 0.0000
N: 0.5000 0.5000 0.5000

Results
- Mass density: 11.2 g/cm3
- Formation energy (no corrections): 0.6 eV/f.u.

---

No. 6
CoPN2: optimized geometry, GGA-PBE.

Cell lengths 5.0004, 5.0004, 5.0004 Å; angles 127.74, 127.74, 77.05 degrees
Sites, in units of the cell vectors:
Co: 0.0000 0.0000 0.0000
Co: 0.7500 0.2500 0.5000
P: 0.2500 0.7500 0.5000
P: 0.5000 0.5000 0.0000
N: 0.1978 0.6250 0.0728
N: 0.3750 0.4478 0.5728
N: 0.5522 0.1250 0.9272
N: 0.8750 0.8022 0.4272

Results
- Mass density: 5.2 g/cm3
- Formation energy (no corrections): -0.1 eV/f.u.

---

No. 7
Co3PN: optimized geometry, GGA-PBE.

Cell lengths 3.7490, 3.7490, 3.7490 Å; angles 90.00, 90.00, 90.00 degrees
Sites, in units of the cell vectors:
Co: 0.0000 0.0000 0.5000
Co: 0.0000 0.5000 0.0000
Co: 0.5000 0.0000 0.0000
P: 0.5000 0.5000 0.5000
N: 0.0000 0.0000 0.0000

Results
- Offset from the most stable computed form: 0.00 kJ per mole of atoms
- Mass density: 7.0 g/cm3
- Formation energy (no corrections): 0.5 eV/f.u.

---

No. 8
CoP3N: optimized geometry, GGA-PBE.

Cell lengths 4.2423, 4.2423, 4.2423 Å; angles 90.00, 90.00, 90.00 degrees
Sites, in units of the cell vectors:
Co: 0.0000 0.0000 0.0000
P: 0.0000 0.0000 0.5000
P: 0.0000 0.5000 0.0000
P: 0.5000 0.0000 0.0000
N: 0.5000 0.5000 0.5000

Results
- Offset from the most stable computed form: 51.86 kJ per mole of atoms
- Mass density: 3.6 g/cm3
- Formation energy (no corrections): 7.3 eV/f.u.

---

No. 9
CoP2N: optimized geometry, GGA-PBE.

Cell lengths 3.7499, 3.7499, 5.5713 Å; angles 109.60, 109.60, 41.91 degrees
Sites, in units of the cell vectors:
Co: 0.0000 0.0000 0.0000
P: 0.3372 0.3372 0.1834
P: 0.4097 0.4097 0.6182
N: 0.7719 0.7719 0.6452

Results
- Mass density: 4.6 g/cm3
- Formation energy (no corrections): 0.2 eV/f.u.

---

No. 10
CoP2N: optimized geometry, GGA-PBE.

Cell lengths 2.6975, 4.1636, 5.2381 Å; angles 76.14, 75.19, 71.27 degrees
Sites, in units of the cell vectors:
Co: 0.0000 0.0000 0.0000
P: 0.2596 0.8778 0.6040
P: 0.3125 0.4451 0.9335
N: 0.8265 0.9357 0.4114

Results
- Mass density: 4.2 g/cm3
- Formation energy (no corrections): -0.5 eV/f.u.

---

No. 11
CoP2N: optimized geometry, GGA-PBE.

Cell lengths 2.7509, 2.6826, 7.8667 Å; angles 90.00, 99.92, 90.00 degrees
Sites, in units of the cell vectors:
Co: 0.0000 0.0000 0.0000
P: 0.3837 0.0000 0.7640
P: 0.5861 0.5000 0.1749
N: 0.3267 0.5000 0.6483

Results
- Mass density: 3.9 g/cm3
- Formation energy (no corrections): 0.0 eV/f.u.

---

No. 12
CoP2N: optimized geometry, GGA-PBE.

Cell lengths 3.5669, 2.8506, 5.7286 Å; angles 90.00, 106.27, 90.00 degrees
Sites, in units of the cell vectors:
Co: 0.0000 0.0000 0.0000
P: 0.6033 0.0000 0.2286
P: 0.8690 0.5000 0.7351
N: 0.6997 0.5000 0.4359

Results
- Mass density: 4.0 g/cm3
- Formation energy (no corrections): -0.1 eV/f.u.

---

VASP energy / hartree per atom: -0.2133; -0.2503; -0.2637; -0.3441; -0.2531; -0.2688; -0.2539; -0.1792; -0.2394; -0.2455; -0.2416; -0.2422